(P)
The following is a GGA-PBE calculation of a relaxed RbLaI4 crystal, from Alexandria.

The space group is C2/c (No. 15) and the conventional cell measures 10.932, 18.707 and 8.276 Å, with angles of 90.00, 110.15 and 90.00 degrees. The distinct sites, in fractional coordinates, are Rb at (0.000, 0.228, 0.250), La at (0.000, 0.067, 0.750), I at (0.169, 0.059, 0.154) and I at (0.189, 0.182, 0.702).

Its spin magnetization is 0.000 μB/atom. For the density of states at the Fermi level, the calculation gives 0.00 states/eV/cell.



(Q)
The following is a GGA-PBE calculation of a relaxed RbLaI4 crystal, from Alexandria.

The space group is Cmc2_1 (No. 36) and the conventional cell measures 6.373, 23.562 and 8.622 Å, with angles of 90.00, 90.00 and 90.00 degrees. The distinct sites, in fractional coordinates, are Rb at (0.000, 0.176, 0.000), La at (0.000, 0.408, 0.071), I at (0.000, 0.089, 0.595), I at (0.000, 0.297, 0.274), I at (0.000, 0.338, 0.769) and I at (0.000, 0.471, 0.407).

Its spin magnetization is 0.000 μB/atom. For the density of states at the Fermi level, the calculation gives 0.00 states/eV/cell.



Top of the stability list: (P), leading by 0.018 eV/atom.